VASP calculation (PBE) on a relaxed GaRu2RhPb crystal.

```
GaRu2RhPb
1.0
4.978 0.000 0.000
0.000 4.937 0.000
0.000 0.000 4.978
Ru Rh Ga Pb
2 1 1 1
Direct
0.500 0.000 0.000 Ru
0.000 0.000 0.500 Ru
0.000 0.500 0.000 Rh
0.500 0.500 0.500 Ga
0.000 0.000 0.000 Pb
```

Summary:
Formation enthalpy at 0 K   9.1 eV/f.u.
Crystal system   tetragonal
Energy above the lowest structure with this stoichiometry   0.8141 eV/atom
Fermi-level density of states   4.192 states/eV/f.u.
Mass density   7.90 g/cm³
Calculated total energy   -4.70 eV/atom
Space-group type   P4/mmm


VASP calculation (PBE) on a relaxed GaSi2RhPb crystal.

```
GaSi2RhPb
1.0
4.628 0.000 0.000
0.000 5.347 0.000
0.000 0.000 4.628
Ga Pb Rh Si
1 1 1 2
Direct
0.000 0.000 0.000 Ga
0.000 0.500 0.000 Pb
0.500 0.500 0.500 Rh
0.500 0.000 0.000 Si
0.000 0.000 0.500 Si
```

Summary:
Crystal system   tetragonal
Fermi-level density of states   2.342 states/eV/f.u.
Mass density   6.32 g/cm³
Calculated total energy   -3.89 eV/atom
Space-group type   P4/mmm


VASP calculation (PBE) on a relaxed TlGa2RhPb crystal.

```
TlGa2RhPb
1.0
4.828 0.000 0.000
0.000 4.828 0.000
0.000 0.000 5.469
Ga Tl Pb Rh
2 1 1 1
Direct
0.500 0.000 0.000 Ga
0.000 0.500 0.000 Ga
0.500 0.500 0.500 Tl
0.000 0.000 0.500 Pb
0.000 0.000 0.000 Rh
```

Summary:
Formation enthalpy at 0 K   -0.4 eV/f.u.
Crystal system   tetragonal
Fermi-level density of states   2.764 states/eV/f.u.
Mass density   8.52 g/cm³
Calculated total energy   -3.98 eV/atom
Space-group type   P4/mmm


VASP calculation (PBE) on a relaxed GaRhPbW2 crystal.

```
GaRhPbW2
1.0
-3.604 1.986 -2.139
-0.911 -4.330 -2.485
-2.798 -1.380 3.431
W Ga Rh Pb
2 1 1 1
Direct
0.000 0.000 0.500 W
0.500 0.000 0.000 W
0.000 0.000 0.000 Ga
0.500 0.500 0.500 Rh
0.000 0.500 0.000 Pb
```

Summary:
Formation enthalpy at 0 K   10.0 eV/f.u.
Crystal system   tetragonal
Fermi-level density of states   6.460 states/eV/f.u.
Mass density   11.37 g/cm³
Calculated total energy   -6.00 eV/atom
Space-group type   P4/mmm


VASP calculation (PBE) on a relaxed Ga3RuPb crystal.

```
Ga3RuPb
1.0
-0.044 0.219 -4.837
4.519 -1.734 -0.119
-1.738 -4.515 -0.189
Ru Ga Pb
1 3 1
Direct
0.000 0.000 0.000 Ru
0.000 0.000 0.500 Ga
0.500 0.000 0.000 Ga
0.000 0.500 0.000 Ga
0.500 0.500 0.500 Pb
```

Summary:
Formation enthalpy at 0 K   0.2 eV/f.u.
Crystal system   cubic
Energy above the lowest structure with this stoichiometry   0.0000 eV/atom
Fermi-level density of states   4.182 states/eV/f.u.
Mass density   7.57 g/cm³
Calculated total energy   -4.37 eV/atom
Space-group type   Pm-3m


VASP calculation (PBE) on a relaxed GaRuPb3 crystal.

```
GaRuPb3
1.0
-4.617 -1.229 -2.480
1.645 -5.098 -0.537
-2.226 -1.218 4.748
Ru Ga Pb
1 1 3
Direct
0.500 0.500 0.500 Ru
0.000 0.000 0.000 Ga
0.000 0.000 0.500 Pb
0.500 0.000 0.000 Pb
0.000 0.500 0.000 Pb
```

Summary:
Formation enthalpy at 0 K   5.7 eV/f.u.
Crystal system   cubic
Energy above the lowest structure with this stoichiometry   0.7843 eV/atom
Fermi-level density of states   4.265 states/eV/f.u.
Mass density   8.43 g/cm³
Calculated total energy   -3.54 eV/atom
Space-group type   Pm-3m


VASP calculation (PBE) on a relaxed GaRu2Pb crystal.

```
GaRu2Pb
1.0
-1.640 4.367 -5.405
-6.239 1.518 3.120
-2.709 5.133 0.254
Ru Ga Pb
4 2 2
Direct
0.582 0.125 0.250 Ru
0.875 0.832 0.750 Ru
0.168 0.625 0.250 Ru
0.375 0.418 0.750 Ru
0.250 0.750 0.500 Ga
0.500 0.500 0.000 Ga
0.000 0.000 0.000 Pb
0.750 0.250 0.500 Pb
```

Summary:
Formation enthalpy at 0 K   2.4 eV/f.u.
Crystal system   tetragonal
Fermi-level density of states   3.835 states/eV/f.u.
Mass density   10.86 g/cm³
Calculated total energy   -5.73 eV/atom
Space-group type   I-42d


VASP calculation (PBE) on a relaxed GaRuPb3 crystal.

```
GaRuPb3
1.0
-1.530 -1.897 -4.685
-2.745 -3.798 2.434
-4.244 3.141 0.115
Pb Ga Ru
3 1 1
Direct
0.000 0.500 0.000 Pb
0.000 0.000 0.500 Pb
0.500 0.000 0.000 Pb
0.500 0.500 0.500 Ga
0.000 0.000 0.000 Ru
```

Summary:
Formation enthalpy at 0 K   1.8 eV/f.u.
Crystal system   cubic
Energy above the lowest structure with this stoichiometry   0.0000 eV/atom
Fermi-level density of states   4.676 states/eV/f.u.
Mass density   8.94 g/cm³
Calculated total energy   -4.33 eV/atom
Space-group type   Pm-3m


VASP calculation (PBE) on a relaxed GaTeRu2Pb crystal.

```
GaTeRu2Pb
1.0
-4.314 2.599 0.722
0.044 -1.427 5.397
2.697 4.176 1.082
Pb Ru Ga Te
1 2 1 1
Direct
0.000 0.000 0.000 Pb
0.500 0.000 0.000 Ru
0.000 0.000 0.500 Ru
0.500 0.500 0.500 Ga
0.000 0.500 0.000 Te
```

Summary:
Crystal system   tetragonal
Fermi-level density of states   9.731 states/eV/f.u.
Mass density   6.97 g/cm³
Calculated total energy   -3.99 eV/atom
Space-group type   P4/mmm


VASP calculation (PBE) on a relaxed Tl2GaRuPb crystal.

```
Tl2GaRuPb
1.0
-0.364 0.012 -5.317
-0.322 -4.796 0.011
-5.305 0.357 0.364
Tl Ru Pb Ga
2 1 1 1
Direct
0.500 0.000 0.000 Tl
0.000 0.000 0.500 Tl
0.000 0.000 0.000 Ru
0.500 0.500 0.500 Pb
0.000 0.500 0.000 Ga
```

Summary:
Formation enthalpy at 0 K   1.4 eV/f.u.
Crystal system   tetragonal
Energy above the lowest structure with this stoichiometry   0.0000 eV/atom
Fermi-level density of states   3.938 states/eV/f.u.
Mass density   9.57 g/cm³
Calculated total energy   -3.88 eV/atom
Space-group type   P4/mmm


VASP calculation (PBE) on a relaxed Tl2GaRuPb crystal.

```
Tl2GaRuPb
1.0
5.270 0.000 0.000
0.000 5.490 0.000
0.000 0.000 5.270
Pb Tl Ru Ga
1 2 1 1
Direct
0.000 0.500 0.000 Pb
0.500 0.000 0.000 Tl
0.000 0.000 0.500 Tl
0.500 0.500 0.500 Ru
0.000 0.000 0.000 Ga
```

Summary:
Formation enthalpy at 0 K   5.6 eV/f.u.
Crystal system   tetragonal
Energy above the lowest structure with this stoichiometry   0.8473 eV/atom
Fermi-level density of states   5.110 states/eV/f.u.
Mass density   8.57 g/cm³
Calculated total energy   -3.03 eV/atom
Space-group type   P4/mmm


VASP calculation (PBE) on a relaxed Ga2PbS crystal.

```
Ga2PbS
1.0
0.000 3.552 3.552
3.552 0.000 3.552
3.552 3.552 0.000
S Ga Pb
1 2 1
Direct
0.000 0.000 0.000 S
0.250 0.250 0.250 Ga
0.750 0.750 0.750 Ga
0.500 0.500 0.500 Pb
```

Summary:
Crystal system   cubic
Energy above the lowest structure with this stoichiometry   0.2756 eV/atom
Fermi-level density of states   2.369 states/eV/f.u.
Mass density   7.02 g/cm³
Calculated total energy   -3.30 eV/atom
Space-group type   Fm-3m


VASP calculation (PBE) on a relaxed GaPbS2 crystal.

```
GaPbS2
1.0
-1.187 -0.877 -3.280
-1.153 -3.342 -0.661
-21.534 6.215 6.133
S Pb Ga
6 3 3
Direct
0.322 0.014 0.059 S
0.986 0.678 0.608 S
0.014 0.664 0.392 S
0.336 0.986 0.274 S
0.678 0.336 0.941 S
0.664 0.321 0.726 S
0.849 0.000 0.167 Pb
0.151 0.849 0.833 Pb
0.000 0.151 0.500 Pb
0.664 0.336 0.333 Ga
0.336 0.000 0.667 Ga
0.000 0.664 0.000 Ga
```

Summary:
Crystal system   trigonal
Fermi-level density of states   0.717 states/eV/f.u.
Mass density   6.53 g/cm³
Calculated total energy   -4.16 eV/atom
Space-group type   P3_221


VASP calculation (PBE) on a relaxed GaPbS3 crystal.

```
GaPbS3
1.0
-2.632 -3.824 -2.352
3.645 -0.229 -3.707
2.620 -3.522 2.795
S Pb Ga
3 1 1
Direct
0.500 0.000 0.000 S
0.000 0.000 0.500 S
0.000 0.500 0.000 S
0.000 0.000 0.000 Pb
0.500 0.500 0.500 Ga
```

Summary:
Crystal system   cubic
Energy above the lowest structure with this stoichiometry   0.9021 eV/atom
Fermi-level density of states   4.426 states/eV/f.u.
Mass density   4.40 g/cm³
Calculated total energy   -3.39 eV/atom
Space-group type   Pm-3m


VASP calculation (PBE) on a relaxed Ga5Pb3S12 crystal.

```
Ga5Pb3S12
1.0
-6.278 -10.011 -6.106
8.429 5.792 -8.505
6.771 -4.718 10.432
Pb Ga S
12 20 48
Direct
0.875 0.125 0.250 Pb
0.250 0.125 0.375 Pb
0.750 0.375 0.125 Pb
0.250 0.625 0.875 Pb
0.125 0.875 0.750 Pb
0.625 0.250 0.375 Pb
0.375 0.750 0.625 Pb
0.875 0.750 0.125 Pb
0.750 0.875 0.625 Pb
0.625 0.375 0.750 Pb
0.375 0.625 0.250 Pb
0.125 0.250 0.875 Pb
0.125 0.375 0.250 Ga
0.750 0.625 0.375 Ga
0.500 0.000 0.500 Ga
0.875 0.250 0.625 Ga
0.125 0.750 0.375 Ga
0.250 0.375 0.625 Ga
0.625 0.875 0.250 Ga
0.500 0.500 0.500 Ga
0.250 0.875 0.125 Ga
0.500 0.500 0.000 Ga
0.500 0.000 0.000 Ga
0.000 0.500 0.000 Ga
0.875 0.625 0.750 Ga
0.375 0.250 0.125 Ga
0.625 0.750 0.875 Ga
0.750 0.125 0.875 Ga
0.000 0.000 0.000 Ga
0.375 0.125 0.750 Ga
0.000 0.000 0.500 Ga
0.000 0.500 0.500 Ga
0.474 0.679 0.091 S
0.617 0.026 0.205 S
0.409 0.383 0.588 S
0.679 0.205 0.588 S
0.909 0.821 0.526 S
0.974 0.383 0.295 S
0.974 0.591 0.179 S
0.821 0.912 0.295 S
0.117 0.412 0.091 S
0.705 0.588 0.179 S
0.026 0.617 0.705 S
0.591 0.617 0.412 S
0.321 0.526 0.409 S
0.591 0.974 0.679 S
0.705 0.117 0.026 S
0.412 0.295 0.321 S
0.883 0.295 0.474 S
0.588 0.705 0.679 S
0.912 0.091 0.617 S
0.179 0.088 0.705 S
0.795 0.474 0.383 S
0.383 0.974 0.795 S
0.321 0.795 0.412 S
0.883 0.588 0.909 S
0.412 0.117 0.591 S
0.526 0.321 0.909 S
0.617 0.591 0.912 S
0.383 0.409 0.088 S
0.205 0.526 0.617 S
0.179 0.091 0.974 S
0.912 0.821 0.795 S
0.474 0.795 0.883 S
0.295 0.883 0.974 S
0.205 0.679 0.088 S
0.117 0.705 0.526 S
0.909 0.088 0.883 S
0.795 0.321 0.912 S
0.026 0.409 0.821 S
0.088 0.179 0.205 S
0.588 0.883 0.409 S
0.091 0.912 0.117 S
0.526 0.205 0.117 S
0.091 0.179 0.474 S
0.295 0.412 0.821 S
0.409 0.026 0.321 S
0.821 0.909 0.026 S
0.088 0.909 0.383 S
0.679 0.474 0.591 S
```

Summary:
Crystal system   cubic
Fermi-level density of states   23.453 states/eV/f.u.
Mass density   4.97 g/cm³
Calculated total energy   -4.17 eV/atom
Space-group type   Ia-3d


VASP calculation (PBE) on a relaxed Ga2Pb2S5 crystal.

```
Ga2Pb2S5
1.0
0.494 -3.156 -2.310
3.910 -4.884 7.510
-7.688 1.246 0.017
Pb S Ga
2 5 2
Direct
0.590 0.902 0.180 Pb
0.410 0.098 0.820 Pb
0.358 0.559 0.717 S
0.218 0.825 0.436 S
0.000 0.000 0.000 S
0.782 0.175 0.564 S
0.642 0.441 0.283 S
0.217 0.601 0.434 Ga
0.783 0.399 0.566 Ga
```

Summary:
Crystal system   monoclinic
Energy above the lowest structure with this stoichiometry   0.0964 eV/atom
Mass density   4.68 g/cm³
Calculated total energy   -4.33 eV/atom
Space-group type   C2/m


VASP calculation (PBE) on a relaxed GaPb2S4 crystal.

```
GaPb2S4
1.0
-0.477 -4.523 -1.496
1.535 1.277 -4.352
7.352 -3.005 -0.922
Ga S Pb
1 4 2
Direct
0.000 0.000 0.000 Ga
0.831 0.831 0.338 S
0.500 0.000 0.000 S
0.000 0.500 0.000 S
0.169 0.169 0.662 S
0.636 0.636 0.728 Pb
0.364 0.364 0.272 Pb
```

Summary:
Crystal system   tetragonal
Energy above the lowest structure with this stoichiometry   0.1559 eV/atom
Fermi-level density of states   6.307 states/eV/f.u.
Mass density   6.12 g/cm³
Calculated total energy   -4.08 eV/atom
Space-group type   I4/mmm


VASP calculation (PBE) on a relaxed Ga4PbS7 crystal.

```
Ga4PbS7
1.0
6.042 0.000 0.000
0.000 6.415 0.000
0.000 0.000 15.144
Ga S Pb
8 14 2
Direct
0.585 0.658 0.877 Ga
0.085 0.342 0.377 Ga
0.075 0.821 0.255 Ga
0.085 0.342 0.623 Ga
0.075 0.821 0.745 Ga
0.585 0.658 0.123 Ga
0.575 0.179 0.755 Ga
0.575 0.179 0.245 Ga
0.470 0.320 0.622 S
0.992 0.146 0.500 S
0.970 0.680 0.122 S
0.965 0.170 0.249 S
0.970 0.680 0.878 S
0.969 0.674 0.619 S
0.969 0.674 0.381 S
0.469 0.326 0.119 S
0.465 0.830 0.251 S
0.469 0.326 0.881 S
0.470 0.320 0.378 S
0.492 0.854 0.000 S
0.465 0.830 0.749 S
0.965 0.170 0.751 S
0.036 0.000 0.000 Pb
0.536 0.000 0.500 Pb
```

Summary:
Crystal system   orthorhombic
Fermi-level density of states   0.000 states/eV/f.u.
Mass density   4.02 g/cm³
Calculated total energy   -4.39 eV/atom
Space-group type   Pmn2_1


VASP calculation (PBE) on a relaxed GaPb2S4 crystal.

```
GaPb2S4
1.0
6.792 0.000 0.074
0.000 6.894 0.000
-2.415 0.000 7.452
S Pb Ga
8 4 2
Direct
0.064 0.750 0.380 S
0.494 0.004 0.253 S
0.494 0.496 0.253 S
0.506 0.504 0.747 S
0.936 0.250 0.620 S
0.506 0.996 0.747 S
0.937 0.250 0.095 S
0.063 0.750 0.905 S
0.743 0.750 0.060 Pb
0.257 0.250 0.940 Pb
0.735 0.750 0.561 Pb
0.265 0.250 0.439 Pb
0.265 0.750 0.194 Ga
0.735 0.250 0.806 Ga
```

Summary:
Crystal system   monoclinic
Energy above the lowest structure with this stoichiometry   0.0000 eV/atom
Fermi-level density of states   5.453 states/eV/f.u.
Mass density   5.81 g/cm³
Calculated total energy   -4.23 eV/atom
Space-group type   P2_1/m


VASP calculation (PBE) on a relaxed GaPbS2 crystal.

```
GaPbS2
1.0
-5.154 5.094 4.710
-2.381 4.588 6.927
-2.207 7.112 4.387
S Ga Pb
2 1 1
Direct
0.113 0.113 0.113 S
0.887 0.887 0.887 S
0.500 0.500 0.500 Ga
0.000 0.000 0.000 Pb
```

Summary:
Crystal system   trigonal
Fermi-level density of states   0.804 states/eV/f.u.
Mass density   6.06 g/cm³
Calculated total energy   -4.15 eV/atom
Space-group type   R-3m